Record 1
Compound: Y2ScTlNi
Source: the Alexandria database
Functional: PBE-GGA
Structure: optimized geometry

Computed properties:
As for the formation energy: -0.1746 eV/atom. The calculation puts the magnetization at 0.0 μB/f.u. Its crystal system is tetragonal. The mass density is 6.0 g/cm³. The density of states at the Fermi level comes out at 1.30 states/eV/atom. The total energy is -28.28 eV for the cell shown.

The structure in CIF format:
```
data_Y2ScTlNi
_symmetry_space_group_name_H-M 'P 1'
_symmetry_Int_Tables_number 1
_symmetry_space_group_name_Hall 'P 1'
_cell_length_a 5.301
_cell_length_b 5.301
_cell_length_c 4.776
_cell_angle_alpha 90.00
_cell_angle_beta 90.00
_cell_angle_gamma 90.00
loop_
_atom_site_label
_atom_site_fract_x
_atom_site_fract_y
_atom_site_fract_z
_atom_site_occupancy
Y1 0.000 0.500 0.000 1
Y2 0.500 0.000 0.000 1
Sc1 0.000 0.000 0.500 1
Tl1 0.500 0.500 0.500 1
Ni1 0.000 0.000 0.000 1
```

=====

Record 2
Compound: ScTlZnNi
Source: the Alexandria database
Functional: PBE-GGA
Structure: optimized geometry

Computed properties:
As for the formation energy: -0.1551 eV/atom. The calculation puts the magnetization at 0.0 μB/f.u. Its crystal system is cubic. The mass density is 9.0 g/cm³. The density of states at the Fermi level comes out at 0.77 states/eV/atom. The total energy is -16.37 eV for the cell shown.

The structure in CIF format:
```
data_ScTlZnNi
_symmetry_space_group_name_H-M 'P 1'
_symmetry_Int_Tables_number 1
_symmetry_space_group_name_Hall 'P 1'
_cell_length_a 4.603
_cell_length_b 4.603
_cell_length_c 4.603
_cell_angle_alpha 60.00
_cell_angle_beta 60.00
_cell_angle_gamma 60.00
loop_
_atom_site_label
_atom_site_fract_x
_atom_site_fract_y
_atom_site_fract_z
_atom_site_occupancy
Sc1 0.000 0.000 0.000 1
Tl1 0.500 0.500 0.500 1
Zn1 0.250 0.250 0.250 1
Ni1 0.750 0.750 0.750 1
```

=====

Record 3
Compound: Sc5Tl2ZnNi2
Source: the Alexandria database
Functional: PBE-GGA
Structure: optimized geometry

Computed properties:
As for the formation energy: -0.3227 eV/atom. The calculation puts the magnetization at 0.0 μB/f.u. Its crystal system is tetragonal. The mass density is 6.7 g/cm³. The density of states at the Fermi level comes out at 0.92 states/eV/atom. The total energy is -104.91 eV for the cell shown.

The structure in CIF format:
```
data_Sc5Tl2ZnNi2
_symmetry_space_group_name_H-M 'P 1'
_symmetry_Int_Tables_number 1
_symmetry_space_group_name_Hall 'P 1'
_cell_length_a 11.087
_cell_length_b 11.087
_cell_length_c 3.294
_cell_angle_alpha 90.00
_cell_angle_beta 90.00
_cell_angle_gamma 90.00
loop_
_atom_site_label
_atom_site_fract_x
_atom_site_fract_y
_atom_site_fract_z
_atom_site_occupancy
Sc1 0.000 0.500 0.000 1
Sc2 0.070 0.203 0.000 1
Sc3 0.203 0.930 0.000 1
Sc4 0.297 0.430 0.000 1
Sc5 0.430 0.703 0.000 1
Sc6 0.500 0.000 0.000 1
Sc7 0.570 0.297 0.000 1
Sc8 0.703 0.570 0.000 1
Sc9 0.797 0.070 0.000 1
Sc10 0.930 0.797 0.000 1
Tl1 0.174 0.674 0.500 1
Tl2 0.326 0.174 0.500 1
Tl3 0.674 0.826 0.500 1
Tl4 0.826 0.326 0.500 1
Zn1 0.000 0.000 0.500 1
Zn2 0.500 0.500 0.500 1
Ni1 0.129 0.371 0.500 1
Ni2 0.371 0.871 0.500 1
Ni3 0.629 0.129 0.500 1
Ni4 0.871 0.629 0.500 1
```

=====

Record 4
Compound: TmScNi
Source: the Alexandria database
Functional: PBE-GGA
Structure: optimized geometry

Computed properties:
As for the formation energy: -0.2489 eV/atom. The calculation puts the magnetization at 0.0 μB/f.u. Its crystal system is hexagonal. The mass density is 7.0 g/cm³. The density of states at the Fermi level comes out at 1.37 states/eV/atom. The total energy is -103.99 eV for the cell shown.

The structure in CIF format:
```
data_TmScNi
_symmetry_space_group_name_H-M 'P 1'
_symmetry_Int_Tables_number 1
_symmetry_space_group_name_Hall 'P 1'
_cell_length_a 6.310
_cell_length_b 6.310
_cell_length_c 11.311
_cell_angle_alpha 90.00
_cell_angle_beta 90.00
_cell_angle_gamma 120.00
loop_
_atom_site_label
_atom_site_fract_x
_atom_site_fract_y
_atom_site_fract_z
_atom_site_occupancy
Tm1 0.000 0.000 0.000 1
Tm2 0.000 0.000 0.333 1
Tm3 0.000 0.000 0.667 1
Tm4 0.000 0.500 0.167 1
Tm5 0.500 0.000 0.500 1
Tm6 0.500 0.500 0.833 1
Sc1 0.000 0.500 0.460 1
Sc2 0.000 0.500 0.873 1
Sc3 0.500 0.000 0.207 1
Sc4 0.500 0.000 0.793 1
Sc5 0.500 0.500 0.127 1
Sc6 0.500 0.500 0.540 1
Ni1 0.225 0.612 0.667 1
Ni2 0.388 0.612 0.333 1
Ni3 0.388 0.775 0.000 1
Ni4 0.612 0.225 0.000 1
Ni5 0.612 0.388 0.333 1
Ni6 0.775 0.388 0.667 1
```

=====

Record 5
Compound: Tm6Sc2Ni
Source: the Alexandria database
Functional: PBE-GGA
Structure: optimized geometry

Computed properties:
As for the formation energy: 0.1557 eV/atom. The calculation puts the magnetization at 0.0 μB/f.u. Its crystal system is monoclinic. The mass density is 7.6 g/cm³. The density of states at the Fermi level comes out at 1.41 states/eV/atom. The total energy is -43.87 eV for the cell shown.

The structure in CIF format:
```
data_Tm6Sc2Ni
_symmetry_space_group_name_H-M 'P 1'
_symmetry_Int_Tables_number 1
_symmetry_space_group_name_Hall 'P 1'
_cell_length_a 9.489
_cell_length_b 9.489
_cell_length_c 3.483
_cell_angle_alpha 100.57
_cell_angle_beta 100.57
_cell_angle_gamma 55.76
loop_
_atom_site_label
_atom_site_fract_x
_atom_site_fract_y
_atom_site_fract_z
_atom_site_occupancy
Tm1 0.012 0.647 0.329 1
Tm2 0.233 0.767 0.000 1
Tm3 0.353 0.988 0.671 1
Tm4 0.647 0.012 0.329 1
Tm5 0.767 0.233 0.000 1
Tm6 0.988 0.353 0.671 1
Sc1 0.350 0.350 0.847 1
Sc2 0.650 0.650 0.153 1
Ni1 0.000 0.000 0.500 1
```

=====

Record 6
Compound: Tm2ScNi9
Source: the Alexandria database
Functional: PBE-GGA
Structure: optimized geometry

Computed properties:
As for the formation energy: -0.4173 eV/atom. The calculation puts the magnetization at 1.2 μB/f.u. Its crystal system is trigonal. The mass density is 9.1 g/cm³. The density of states at the Fermi level comes out at 1.26 states/eV/atom. The total energy is -72.31 eV for the cell shown.

The structure in CIF format:
```
data_Tm2ScNi9
_symmetry_space_group_name_H-M 'P 1'
_symmetry_Int_Tables_number 1
_symmetry_space_group_name_Hall 'P 1'
_cell_length_a 8.530
_cell_length_b 8.530
_cell_length_c 8.530
_cell_angle_alpha 33.29
_cell_angle_beta 33.29
_cell_angle_gamma 33.29
loop_
_atom_site_label
_atom_site_fract_x
_atom_site_fract_y
_atom_site_fract_z
_atom_site_occupancy
Tm1 0.138 0.138 0.138 1
Tm2 0.862 0.862 0.862 1
Sc1 0.000 0.000 0.000 1
Ni1 0.080 0.583 0.583 1
Ni2 0.333 0.333 0.333 1
Ni3 0.417 0.417 0.920 1
Ni4 0.417 0.920 0.417 1
Ni5 0.500 0.500 0.500 1
Ni6 0.583 0.080 0.583 1
Ni7 0.583 0.583 0.080 1
Ni8 0.667 0.667 0.667 1
Ni9 0.920 0.417 0.417 1
```

=====

Record 7
Compound: Tm2Sc3Ni2
Source: the Alexandria database
Functional: PBE-GGA
Structure: optimized geometry

Computed properties:
As for the formation energy: -0.2394 eV/atom. The calculation puts the magnetization at 0.0 μB/f.u. Its crystal system is monoclinic. The mass density is 6.5 g/cm³. The density of states at the Fermi level comes out at 1.19 states/eV/atom. The total energy is -41.18 eV for the cell shown.

The structure in CIF format:
```
data_Tm2Sc3Ni2
_symmetry_space_group_name_H-M 'P 1'
_symmetry_Int_Tables_number 1
_symmetry_space_group_name_Hall 'P 1'
_cell_length_a 5.691
_cell_length_b 5.691
_cell_length_c 7.125
_cell_angle_alpha 112.58
_cell_angle_beta 112.58
_cell_angle_gamma 45.93
loop_
_atom_site_label
_atom_site_fract_x
_atom_site_fract_y
_atom_site_fract_z
_atom_site_occupancy
Tm1 0.141 0.141 0.304 1
Tm2 0.859 0.859 0.696 1
Sc1 0.360 0.360 0.042 1
Sc2 0.500 0.500 0.500 1
Sc3 0.640 0.640 0.958 1
Ni1 0.135 0.135 0.704 1
Ni2 0.865 0.865 0.296 1
```

=====

Record 8
Compound: Tm6ScNi3
Source: the Alexandria database
Functional: PBE-GGA
Structure: optimized geometry

Computed properties:
As for the formation energy: -0.2581 eV/atom. The calculation puts the magnetization at 0.0 μB/f.u. Its crystal system is orthorhombic. The mass density is 8.7 g/cm³. The density of states at the Fermi level comes out at 0.97 states/eV/atom. The total energy is -106.17 eV for the cell shown.

The structure in CIF format:
```
data_Tm6ScNi3
_symmetry_space_group_name_H-M 'P 1'
_symmetry_Int_Tables_number 1
_symmetry_space_group_name_Hall 'P 1'
_cell_length_a 8.329
_cell_length_b 8.329
_cell_length_c 6.900
_cell_angle_alpha 90.00
_cell_angle_beta 90.00
_cell_angle_gamma 100.02
loop_
_atom_site_label
_atom_site_fract_x
_atom_site_fract_y
_atom_site_fract_z
_atom_site_occupancy
Tm1 0.033 0.421 0.336 1
Tm2 0.035 0.965 0.500 1
Tm3 0.225 0.775 0.149 1
Tm4 0.300 0.371 0.985 1
Tm5 0.371 0.300 0.485 1
Tm6 0.421 0.033 0.836 1
Tm7 0.579 0.967 0.336 1
Tm8 0.629 0.700 0.985 1
Tm9 0.700 0.629 0.485 1
Tm10 0.775 0.225 0.649 1
Tm11 0.965 0.035 0.000 1
Tm12 0.967 0.579 0.836 1
Sc1 0.322 0.678 0.607 1
Sc2 0.678 0.322 0.107 1
Ni1 0.090 0.300 0.702 1
Ni2 0.300 0.090 0.202 1
Ni3 0.413 0.587 0.283 1
Ni4 0.587 0.413 0.783 1
Ni5 0.700 0.910 0.702 1
Ni6 0.910 0.700 0.202 1
```

=====

> The highest density of states at the Fermi level belongs to which entry?

Tm6Sc2Ni

=====

Please write out number 3 again, unchanged.
Compound: Sc5Tl2ZnNi2
Source: the Alexandria database
Functional: PBE-GGA
Structure: optimized geometry

Computed properties:
As for the formation energy: -0.3227 eV/atom. The calculation puts the magnetization at 0.0 μB/f.u. Its crystal system is tetragonal. The mass density is 6.7 g/cm³. The density of states at the Fermi level comes out at 0.92 states/eV/atom. The total energy is -104.91 eV for the cell shown.

The structure in CIF format:
```
data_Sc5Tl2ZnNi2
_symmetry_space_group_name_H-M 'P 1'
_symmetry_Int_Tables_number 1
_symmetry_space_group_name_Hall 'P 1'
_cell_length_a 11.087
_cell_length_b 11.087
_cell_length_c 3.294
_cell_angle_alpha 90.00
_cell_angle_beta 90.00
_cell_angle_gamma 90.00
loop_
_atom_site_label
_atom_site_fract_x
_atom_site_fract_y
_atom_site_fract_z
_atom_site_occupancy
Sc1 0.000 0.500 0.000 1
Sc2 0.070 0.203 0.000 1
Sc3 0.203 0.930 0.000 1
Sc4 0.297 0.430 0.000 1
Sc5 0.430 0.703 0.000 1
Sc6 0.500 0.000 0.000 1
Sc7 0.570 0.297 0.000 1
Sc8 0.703 0.570 0.000 1
Sc9 0.797 0.070 0.000 1
Sc10 0.930 0.797 0.000 1
Tl1 0.174 0.674 0.500 1
Tl2 0.326 0.174 0.500 1
Tl3 0.674 0.826 0.500 1
Tl4 0.826 0.326 0.500 1
Zn1 0.000 0.000 0.500 1
Zn2 0.500 0.500 0.500 1
Ni1 0.129 0.371 0.500 1
Ni2 0.371 0.871 0.500 1
Ni3 0.629 0.129 0.500 1
Ni4 0.871 0.629 0.500 1
```

=====

> Among the records above, which one has the highest magnetization?

Tm2ScNi9

=====

Please write out number 6 again, unchanged.
Compound: Tm2ScNi9
Source: the Alexandria database
Functional: PBE-GGA
Structure: optimized geometry

Computed properties:
As for the formation energy: -0.4173 eV/atom. The calculation puts the magnetization at 1.2 μB/f.u. Its crystal system is trigonal. The mass density is 9.1 g/cm³. The density of states at the Fermi level comes out at 1.26 states/eV/atom. The total energy is -72.31 eV for the cell shown.

The structure in CIF format:
```
data_Tm2ScNi9
_symmetry_space_group_name_H-M 'P 1'
_symmetry_Int_Tables_number 1
_symmetry_space_group_name_Hall 'P 1'
_cell_length_a 8.530
_cell_length_b 8.530
_cell_length_c 8.530
_cell_angle_alpha 33.29
_cell_angle_beta 33.29
_cell_angle_gamma 33.29
loop_
_atom_site_label
_atom_site_fract_x
_atom_site_fract_y
_atom_site_fract_z
_atom_site_occupancy
Tm1 0.138 0.138 0.138 1
Tm2 0.862 0.862 0.862 1
Sc1 0.000 0.000 0.000 1
Ni1 0.080 0.583 0.583 1
Ni2 0.333 0.333 0.333 1
Ni3 0.417 0.417 0.920 1
Ni4 0.417 0.920 0.417 1
Ni5 0.500 0.500 0.500 1
Ni6 0.583 0.080 0.583 1
Ni7 0.583 0.583 0.080 1
Ni8 0.667 0.667 0.667 1
Ni9 0.920 0.417 0.417 1
```